VASP calculation (PBE-GGA) on Ti2SnGe after structural relaxation.

Structure (POSCAR):
```
Ti2SnGe
1.0
4.218 0.000 0.000
0.000 4.218 0.000
0.000 0.000 4.006
Ti Sn Ge
2 1 1
Direct
0.000 0.500 0.000
0.500 0.000 0.000
0.000 0.000 0.500
0.500 0.500 0.500
```

- formation energy (meV/atom) = -265
- D(E_F) (states/eV/f.u.) = 2.71